Entry 1:
First-principles (PBEsol) data for a relaxed structure of ScTl2CoGe, as listed in the Alexandria database.

Cell lengths 5.156, 5.156, 5.062 Å; angles 90.00, 90.00, 90.00 degrees
Space group P4/mmm (No. 123)
One atom of each set of equivalent atoms:
Sc (0.000, 0.000, 0.000) x1
Tl (0.000, 0.500, 0.500) x2
Co (0.500, 0.500, 0.000) x1
Ge (0.000, 0.000, 0.500) x1

- Total energy: -3.956 eV per atom
- Volume: 26.92 A^3/atom
- Magnetization: 1.9 Bohr magnetons per cell

=====

Entry 2:
First-principles (PBEsol) data for a relaxed structure of TlInCo2, as listed in the Alexandria database.

Cell lengths 3.778, 3.778, 8.743 Å; angles 90.00, 90.00, 90.00 degrees
Space group I-4m2 (No. 119)
One atom of each set of equivalent atoms:
Tl (0.000, 0.000, 0.000) x2
In (0.000, 0.500, 0.750) x2
Co (0.000, 0.000, 0.500) x2
Co (0.000, 0.500, 0.250) x2

- Total energy: -4.792 eV per atom
- Volume: 15.60 A^3/atom
- Magnetization: 3.8 Bohr magnetons per cell